Density functional theory data (PBE) for a relaxed Na2Ca4Pd crystal.

Lattice parameters (Å, degrees): 5.5918 5.5918 17.8622 90.00 90.00 90.00
Space group I4/mmm (No. 139)
Unique sites:
Na (0.0000, 0.0000, 0.1369) x4
Ca (0.0000, 0.0000, 0.3384) x4
Ca (0.0000, 0.5000, 0.0000) x4
Pd (0.0000, 0.0000, 0.5000) x2

Summary:
V	558.5	Å³ per cell
energy of formation	-116	meV per atom
Fermi-level density of states	0.6935	states/eV per atom
total energy	-2.38	eV/atom
M_tot	0.0	μB per cell